No. 1
Computed, not measured: a geometry-optimized Nd4ThSb5 structure at the PBE level of DFT.

a b c (Å): 4.5223 4.5223 31.9658
angles (deg): 90.00 90.00 90.00
With the nearest neighbours (Å) after each atom.
Space group I4/mmm (No. 139)
Inequivalent atoms, fractional coordinates:
Nd 0.0000 0.0000 0.1016 (multiplicity 4)  6 Sb 3.15-3.25
Nd 0.0000 0.0000 0.2997 (multiplicity 4)  6 Sb 3.19-3.23
Th 0.0000 0.0000 0.5000 (multiplicity 2)  6 Sb 3.17-3.20
Sb 0.0000 0.0000 0.0000 (multiplicity 2)  4 Th 3.20, 2 Nd 3.25
Sb 0.0000 0.0000 0.2001 (multiplicity 4)  6 Nd 3.15-3.20
Sb 0.0000 0.0000 0.4008 (multiplicity 4)  1 Th 3.17, 5 Nd 3.20-3.23

E (eV per formula unit): -58.556
Formation energy without anion corrections (meV per atom): -1145
DOS at the Fermi energy (states/eV per cell): 5.19
Theoretical density (g/cm3): 7.20


No. 2
Computed, not measured: a geometry-optimized BiSBr structure at the PBE level of DFT.

a b c (Å): 4.5155 18.7816 4.5820
angles (deg): 90.00 90.00 90.00
With the nearest neighbours (Å) after each atom.
Space group Cmcm (No. 63)
Inequivalent atoms, fractional coordinates:
Bi 0.0000 0.1682 0.2500 (multiplicity 4)  4 S 2.74-2.75
S 0.0000 0.2491 0.7500 (multiplicity 4)  4 Bi 2.74-2.75
Br 0.0000 0.4002 0.2500 (multiplicity 4)  4 Bi 3.46, 4 S 3.60-3.65

E (eV per formula unit): -10.898
Formation energy without anion corrections (meV per atom): -406
DOS at the Fermi energy (states/eV per cell): 0.24
Theoretical density (g/cm3): 5.49


No. 3
Computed, not measured: a geometry-optimized Ta3Fe structure at the PBE level of DFT.

a b c (Å): 2.9263 2.9263 9.0874
angles (deg): 90.00 90.00 120.00
With the nearest neighbours (Å) after each atom.
Space group P-6m2 (No. 187)
Inequivalent atoms, fractional coordinates:
Ta 0.0000 0.0000 0.0000 (multiplicity 1)  12 Ta 2.93-3.04
Ta 0.3333 0.6667 0.2785 (multiplicity 2)  3 Fe 2.63, 6 Ta 2.93
Fe 0.0000 0.0000 0.5000 (multiplicity 1)  6 Ta 2.63, 6 Fe 2.93

E (eV per formula unit): -42.917
Energy relative to the elements (meV per atom): 276
DOS at the Fermi energy (states/eV per cell): 5.66
Theoretical density (g/cm3): 14.75


No. 4
Computed, not measured: a geometry-optimized IrRu2I structure at the PBE level of DFT.

a b c (Å): 5.9788 5.9788 10.6307
angles (deg): 90.00 90.00 90.00
With the nearest neighbours (Å) after each atom.
Space group I-42d (No. 122)
Inequivalent atoms, fractional coordinates:
Ir 0.0000 0.0000 0.0000 (multiplicity 4)  4 Ru 2.39
Ru 0.2183 0.2500 0.1250 (multiplicity 8)  2 Ir 2.39, 2 I 2.61
I 0.0000 0.0000 0.5000 (multiplicity 4)  4 Ru 2.61

E (eV per formula unit): -24.789
Formation energy without anion corrections (meV per atom): 1043
DOS at the Fermi energy (states/eV per cell): 15.95
Theoretical density (g/cm3): 9.11


No. 5
Computed, not measured: a geometry-optimized Tl2WBr structure at the PBE level of DFT.

a b c (Å): 5.4732 5.4732 3.1093
angles (deg): 90.00 90.00 90.00
With the nearest neighbours (Å) after each atom.
Space group P4/mmm (No. 123)
Inequivalent atoms, fractional coordinates:
Tl 0.0000 0.5000 0.0000 (multiplicity 2)  2 Tl 3.11, 4 W 3.15, 4 Br 3.15
W 0.0000 0.0000 0.5000 (multiplicity 1)  2 W 3.11, 8 Tl 3.15
Br 0.5000 0.5000 0.5000 (multiplicity 1)  2 Br 3.11, 8 Tl 3.15

E (eV per formula unit): -16.305
Formation energy without anion corrections (meV per atom): 763
DOS at the Fermi energy (states/eV per cell): 1.88
Theoretical density (g/cm3): 11.99


No. 6
Computed, not measured: a geometry-optimized La4PmEr2Tm structure at the PBE level of DFT.

a b c (Å): 5.9518 5.9448 7.7786
angles (deg): 90.00 90.04 90.00
With the nearest neighbours (Å) after each atom.
Space group P2/m (No. 10)
Inequivalent atoms, fractional coordinates:
La 0.0004 0.0000 0.2429 (multiplicity 2)  2 Tm 3.52, 4 Er 3.52-3.58, 2 Pm 3.58-3.59, 1 La 3.78
La 0.4991 0.5000 0.7576 (multiplicity 2)  2 Tm 3.52-3.53, 4 Er 3.52-3.59, 2 Pm 3.58, 1 La 3.77
Pm 0.5000 0.0000 0.5000 (multiplicity 1)  8 La 3.58-3.59, 2 Er 3.89
Er 0.0000 0.5000 0.5000 (multiplicity 1)  8 La 3.58-3.59, 2 Tm 3.89
Er 0.5000 0.0000 0.0000 (multiplicity 1)  8 La 3.52-3.53, 2 Pm 3.89
Tm 0.0000 0.5000 0.0000 (multiplicity 1)  8 La 3.52-3.53, 2 Er 3.89

E (eV per formula unit): -37.430
Energy relative to the elements (meV per atom): 78
DOS at the Fermi energy (states/eV per cell): 12.93
Theoretical density (g/cm3): 7.26


No. 7
Computed, not measured: a geometry-optimized LaCuRe2 structure at the PBE level of DFT.

a b c (Å): 3.3018 3.3018 6.9709
angles (deg): 90.00 90.00 90.00
With the nearest neighbours (Å) after each atom.
Space group P4/mmm (No. 123)
Inequivalent atoms, fractional coordinates:
La 0.0000 0.0000 0.0000 (multiplicity 1)  8 Re 3.29, 4 La 3.30, 2 Cu 3.49
Cu 0.0000 0.0000 0.5000 (multiplicity 1)  8 Re 2.61
Re 0.5000 0.5000 0.3320 (multiplicity 2)  1 Re 2.34, 4 Cu 2.61

E (eV per formula unit): -31.527
Energy relative to the elements (meV per atom): 598
DOS at the Fermi energy (states/eV per cell): 2.89
Theoretical density (g/cm3): 12.56


No. 8
Computed, not measured: a geometry-optimized BeAg2As2 structure at the PBE level of DFT.

a b c (Å): 3.7615 3.7615 13.6756
angles (deg): 90.00 90.00 90.00
With the nearest neighbours (Å) after each atom.
Space group I4/mmm (No. 139)
Inequivalent atoms, fractional coordinates:
Be 0.0000 0.0000 0.0000 (multiplicity 2)  8 As 2.93
Ag 0.0000 0.5000 0.2500 (multiplicity 4)  4 Ag 2.66, 4 As 2.88
As 0.0000 0.0000 0.4093 (multiplicity 4)  1 As 2.48

E (eV per formula unit): -15.723
Energy relative to the elements (meV per atom): 601
DOS at the Fermi energy (states/eV per cell): 4.35
Theoretical density (g/cm3): 6.43


No. 9
Computed, not measured: a geometry-optimized Pr2Y7Pu structure at the PBE level of DFT.

a b c (Å): 12.0610 16.5151 3.4965
angles (deg): 90.00 90.00 90.00
With the nearest neighbours (Å) after each atom.
Space group Cmmm (No. 65)
Inequivalent atoms, fractional coordinates:
Pr 0.0000 0.1639 0.0000 (multiplicity 4)  4 Y 3.18-3.19, 2 Pu 3.22, 2 Pr 3.50
Y 0.0000 0.3255 0.5000 (multiplicity 4)  2 Pr 3.19, 8 Y 3.37-3.50
Y 0.0000 0.5000 0.0000 (multiplicity 2)  10 Y 3.37-3.60
Y 0.2403 0.3711 0.0000 (multiplicity 8)  1 Pr 3.18, 4 Y 3.47-3.50
Pu 0.0000 0.0000 0.5000 (multiplicity 2)  4 Pr 3.22, 2 Pu 3.50

E (eV per formula unit): -64.435
Energy relative to the elements (meV per atom): 470
DOS at the Fermi energy (states/eV per cell): 46.36
Theoretical density (g/cm3): 5.47


Calculated volume values, unit A^3/atom, following the record order: 32.69 32.38 16.85 23.75 23.29 34.40 19.00 19.35 34.82.
Spin magnetization values, unit μB per atom, following the record order: 0.000 0.000 0.325 0.000 0.270 0.000 0.000 0.000 0.604.